## Ni6Bi (PBE)

Data for an optimized crystal structure of Ni6Bi.

a b c (Å): 5.3984 5.3984 5.3984
angles (deg): 109.47 109.47 109.47
Closest atoms and distances in Å follow each position.
Sites, in units of the cell vectors:
Ni (0.2500, 0.5000, 0.7500)  4 Ni 2.20
Ni (0.2500, 0.7500, 0.5000)  4 Ni 2.20
Ni (0.5000, 0.2500, 0.7500)  4 Ni 2.20
Ni (0.5000, 0.7500, 0.2500)  4 Ni 2.20
Ni (0.7500, 0.2500, 0.5000)  4 Ni 2.20
Ni (0.7500, 0.5000, 0.2500)  4 Ni 2.20
Bi (0.0000, 0.0000, 0.0000)  24 Ni 3.48

DFT formation energy   810.2 meV per atom

=====

## RbPbF2 (PBE)

Data for an optimized crystal structure of RbPbF2.

a b c (Å): 6.4541 6.4541 6.4541
angles (deg): 114.22 114.22 100.33
Closest atoms and distances in Å follow each position.
Sites, in units of the cell vectors:
Rb (0.0000, 0.0000, 0.0000)  4 F 2.79
Rb (0.7500, 0.2500, 0.5000)  4 F 2.79
Pb (0.2500, 0.7500, 0.5000)  4 F 2.58
Pb (0.5000, 0.5000, 0.0000)  4 F 2.58
F (0.1478, 0.6250, 0.0228)  2 Pb 2.58, 2 Rb 2.79
F (0.3750, 0.3978, 0.5228)  2 Pb 2.58, 2 Rb 2.79
F (0.6022, 0.1250, 0.9772)  2 Pb 2.58, 2 Rb 2.79
F (0.8750, 0.8522, 0.4772)  2 Pb 2.58, 2 Rb 2.79

Energy above the most stable polymorph in this dataset   90 kJ/mol of formula units
Uncorrected formation energy   -713 kJ/mol of formula units

=====

Number 1: DFT total energy -4.6996 eV/atom, total magnetic moment 5.22 μB per formula unit, volume 121.1 Å³/f.u.. Number 2: DFT total energy -3.9528 eV/atom, total magnetic moment 0.98 μB per formula unit, volume 101.6 Å³/f.u..